No. 1
A relaxed structure of LiVAu2, computed with PBE.

Properties
* crystal system: trigonal
* DOS(E_F): 1.038 states/eV/atom
* calculated density: 11.16 g/cm³
* total moment: 1.44 μB per formula unit
* formation enthalpy at 0 K: 74 kJ/mol of formula units

a = 2.8122 Å, b = 2.8122 Å, c = 29.4462 Å
α = 90.00°, β = 90.00°, γ = 120.00°
Space group R-3m (No. 166, hexagonal axes)
Inequivalent atoms, fractional coordinates:
Li  0.0000  0.0000  0.0000
V  0.0000  0.0000  0.5000
Au  0.0000  0.0000  0.4087

No. 2
A relaxed structure of LiVAu2, computed with PBE.

Properties
* crystal system: tetragonal
* DOS(E_F): 0.976 states/eV/atom
* calculated density: 12.10 g/cm³
* total moment: 0.65 μB per formula unit
* formation enthalpy at 0 K: -65 kJ/mol of formula units

a = 2.8599 Å, b = 2.8599 Å, c = 7.5807 Å
α = 90.00°, β = 90.00°, γ = 90.00°
Space group P4/mmm (No. 123)
Inequivalent atoms, fractional coordinates:
Li  0.0000  0.0000  0.0000
V  0.0000  0.0000  0.5000
Au  0.5000  0.5000  0.2469

No. 3
A relaxed structure of Li2VAu, computed with PBE.

Properties
* offset from the most stable computed form: 0.00 kcal/mol of atoms
* crystal system: cubic
* DOS(E_F): 1.207 states/eV/atom
* calculated density: 7.17 g/cm³
* total moment: 3.86 μB per formula unit
* formation enthalpy at 0 K: 45 kJ/mol of formula units

a = 6.2360 Å, b = 6.2360 Å, c = 6.2360 Å
α = 90.00°, β = 90.00°, γ = 90.00°
Space group Fm-3m (No. 225)
Inequivalent atoms, fractional coordinates:
Li  0.2500  0.2500  0.2500
V  0.0000  0.0000  0.0000
Au  0.0000  0.0000  0.5000

No. 4
A relaxed structure of LiV3Au, computed with PBE.

Properties
* offset from the most stable computed form: 7.82 kcal/mol of atoms
* crystal system: cubic
* DOS(E_F): 2.408 states/eV/atom
* calculated density: 4.72 g/cm³
* total moment: 9.28 μB per formula unit
* formation enthalpy at 0 K: 654 kJ/mol of formula units

a = 5.0053 Å, b = 5.0053 Å, c = 5.0053 Å
α = 90.00°, β = 90.00°, γ = 90.00°
Space group Pm-3m (No. 221)
Inequivalent atoms, fractional coordinates:
Li  0.0000  0.0000  0.0000
V  0.0000  0.5000  0.5000
Au  0.5000  0.5000  0.5000

No. 5
A relaxed structure of LiV3Au, computed with PBE.

Properties
* offset from the most stable computed form: 0.00 kcal/mol of atoms
* crystal system: cubic
* DOS(E_F): 1.209 states/eV/atom
* calculated density: 8.31 g/cm³
* total moment: 1.84 μB per formula unit
* formation enthalpy at 0 K: 490 kJ/mol of formula units

a = 4.1461 Å, b = 4.1461 Å, c = 4.1461 Å
α = 90.00°, β = 90.00°, γ = 90.00°
Space group Pm-3m (No. 221)
Inequivalent atoms, fractional coordinates:
Li  0.0000  0.0000  0.0000
V  0.0000  0.0000  0.5000
Au  0.5000  0.5000  0.5000

No. 6
A relaxed structure of LiVAu2, computed with PBE.

Properties
* crystal system: tetragonal
* DOS(E_F): 0.807 states/eV/atom
* calculated density: 11.92 g/cm³
* total moment: 0.00 μB per formula unit
* formation enthalpy at 0 K: -81 kJ/mol of formula units

a = 4.7987 Å, b = 4.7987 Å, c = 2.7336 Å
α = 90.00°, β = 90.00°, γ = 90.00°
Space group P4/mmm (No. 123)
Inequivalent atoms, fractional coordinates:
Li  0.0000  0.0000  0.0000
V  0.5000  0.5000  0.0000
Au  0.0000  0.5000  0.5000

No. 7
A relaxed structure of Li2VAu, computed with PBE.

Properties
* offset from the most stable computed form: 1.14 kcal/mol of atoms
* crystal system: trigonal
* DOS(E_F): 0.658 states/eV/atom
* calculated density: 6.84 g/cm³
* total moment: 0.00 μB per formula unit
* formation enthalpy at 0 K: 65 kJ/mol of formula units

a = 2.7291 Å, b = 2.7291 Å, c = 29.5602 Å
α = 90.00°, β = 90.00°, γ = 120.00°
Space group R-3m (No. 166, hexagonal axes)
Inequivalent atoms, fractional coordinates:
Li  0.0000  0.0000  0.0884
V  0.0000  0.0000  0.0000
Au  0.0000  0.0000  0.5000

No. 8
A relaxed structure of LiVAu2, computed with PBE.

Properties
* crystal system: tetragonal
* DOS(E_F): 1.042 states/eV/atom
* calculated density: 10.31 g/cm³
* total moment: 3.44 μB per formula unit
* formation enthalpy at 0 K: 108 kJ/mol of formula units

a = 3.9832 Å, b = 3.9832 Å, c = 18.3533 Å
α = 90.00°, β = 90.00°, γ = 90.00°
Space group I-42d (No. 122)
Inequivalent atoms, fractional coordinates:
Li  0.0000  0.0000  0.0000
V  0.0000  0.0000  0.5000
Au  0.2447  0.2500  0.1250

No. 9
A relaxed structure of LiV2Au2, computed with PBE.

Properties
* crystal system: tetragonal
* DOS(E_F): 1.046 states/eV/atom
* calculated density: 9.89 g/cm³
* total moment: 0.00 μB per formula unit
* formation enthalpy at 0 K: 28 kJ/mol of formula units

a = 7.8628 Å, b = 7.8628 Å, c = 2.7311 Å
α = 90.00°, β = 90.00°, γ = 90.00°
Space group P4/mbm (No. 127)
Inequivalent atoms, fractional coordinates:
Li  0.0000  0.0000  0.0000
V  0.1025  0.3975  0.0000
Au  0.1891  0.6891  0.5000

No. 10
A relaxed structure of LiW2Au, computed with PBE.

Properties
* offset from the most stable computed form: 6.24 kcal/mol of atoms
* crystal system: orthorhombic
* DOS(E_F): 1.207 states/eV/atom
* calculated density: 14.99 g/cm³
* total moment: 0.00 μB per formula unit
* formation enthalpy at 0 K: 170 kJ/mol of formula units

a = 5.1880 Å, b = 9.1191 Å, c = 2.6775 Å
α = 90.00°, β = 90.00°, γ = 90.00°
Space group Cmmm (No. 65)
Inequivalent atoms, fractional coordinates:
Li  0.0000  0.0000  0.0000
W  0.2500  0.2500  0.5000
Au  0.0000  0.5000  0.0000

No. 11
A relaxed structure of LiWAu3, computed with PBE.

Properties
* offset from the most stable computed form: 1.20 kcal/mol of atoms
* crystal system: cubic
* DOS(E_F): 1.108 states/eV/atom
* calculated density: 15.55 g/cm³
* total moment: 0.00 μB per formula unit
* formation enthalpy at 0 K: 413 kJ/mol of formula units

a = 4.3705 Å, b = 4.3705 Å, c = 4.3705 Å
α = 90.00°, β = 90.00°, γ = 90.00°
Space group Pm-3m (No. 221)
Inequivalent atoms, fractional coordinates:
Li  0.0000  0.0000  0.0000
W  0.5000  0.5000  0.5000
Au  0.0000  0.0000  0.5000

No. 12
A relaxed structure of LiW2Au, computed with PBE.

Properties
* offset from the most stable computed form: 3.65 kcal/mol of atoms
* crystal system: tetragonal
* DOS(E_F): 0.795 states/eV/atom
* calculated density: 15.27 g/cm³
* total moment: 0.00 μB per formula unit
* formation enthalpy at 0 K: 127 kJ/mol of formula units

a = 3.7044 Å, b = 3.7044 Å, c = 4.5294 Å
α = 90.00°, β = 90.00°, γ = 90.00°
Space group P4/mmm (No. 123)
Inequivalent atoms, fractional coordinates:
Li  0.0000  0.0000  0.0000
W  0.0000  0.5000  0.5000
Au  0.5000  0.5000  0.0000